The following is a DFT calculation (PBE with a Hubbard U) of a relaxed Li3FeOF4 crystal.

POSCAR file:
```
Li3FeOF4
1.0
3.759 0.000 0.000
1.879 4.957 0.024
1.879 0.275 5.069
Li Fe F O
3 1 4 1
Direct
0.866 0.703 0.565
0.222 0.182 0.374
0.402 0.355 0.841
0.032 0.925 0.011
0.122 0.555 0.200
0.774 0.070 0.381
0.975 0.307 0.744
0.300 0.724 0.675
0.502 0.988 0.008
```

- Mass density: 2.97 g cm⁻³
- Spin magnetization: 0.5553 μB/atom
- Space group: Cm (8)
- Energy: -5.19 eV per atom